Entry from the Alexandria database: a geometry-optimized BaAcAsF structure (PBE).

The structure in CIF format:
```
data_BaAcAsF
_cell_length_a 5.063
_cell_length_b 5.063
_cell_length_c 9.529
_cell_angle_alpha 90.00
_cell_angle_beta 90.00
_cell_angle_gamma 90.00
_symmetry_space_group_name_H-M 'P 4/n m m'
_symmetry_Int_Tables_number 129
loop_
_symmetry_equiv_pos_as_xyz
'x,y,z'
'-x,-y,-z'
'-y+1/2,x,z'
'y+1/2,-x,-z'
'-x+1/2,-y+1/2,z'
'x+1/2,y+1/2,-z'
'y,-x+1/2,z'
'-y,x+1/2,-z'
'x+1/2,-y,-z'
'-x+1/2,y,z'
'-y,-x,-z'
'y,x,z'
'-x,y+1/2,-z'
'x,-y+1/2,z'
'y+1/2,x+1/2,-z'
'-y+1/2,-x+1/2,z'
loop_
_atom_site_label
_atom_site_type_symbol
_atom_site_fract_x
_atom_site_fract_y
_atom_site_fract_z
_atom_site_occupancy
Ba1 Ba 0.250 0.250 0.110 1
Ac1 Ac 0.250 0.750 0.500 1
As1 As 0.250 0.250 0.700 1
F1 F 0.250 0.750 0.000 1
```

crystal system	tetragonal
uncorrected formation energy	-1.93	eV/atom
total energy	-5.07	eV/atom
D(E_F)	0.27	states/eV/atom
total magnetic moment	1.424	Bohr magnetons per cell

---

Entry from the Alexandria database: a geometry-optimized BaAcLa2As4 structure (PBE).

The structure in CIF format:
```
data_BaAcLa2As4
_cell_length_a 7.802
_cell_length_b 4.491
_cell_length_c 7.831
_cell_angle_alpha 90.00
_cell_angle_beta 109.39
_cell_angle_gamma 90.00
_symmetry_space_group_name_H-M 'P 1 2/m 1'
_symmetry_Int_Tables_number 10
loop_
_symmetry_equiv_pos_as_xyz
'x,y,z'
'-x,-y,-z'
'-x,y,-z'
'x,-y,z'
loop_
_atom_site_label
_atom_site_type_symbol
_atom_site_fract_x
_atom_site_fract_y
_atom_site_fract_z
_atom_site_occupancy
Ba1 Ba 0.000 0.000 0.000 1
Ac1 Ac 0.500 0.500 0.000 1
La1 La 0.000 0.500 0.500 1
La2 La 0.500 0.000 0.500 1
As1 As 0.251 0.000 0.735 1
As2 As 0.265 0.500 0.272 1
```

crystal system	monoclinic
total energy	-5.65	eV/atom
D(E_F)	0.82	states/eV/atom
total magnetic moment	0.000	Bohr magnetons per cell
energy of formation	-1340	meV per atom

---

Entry from the Alexandria database: a geometry-optimized BaAcAs2O8 structure (PBE).

The structure in CIF format:
```
data_BaAcAs2O8
_cell_length_a 7.773
_cell_length_b 7.773
_cell_length_c 6.923
_cell_angle_alpha 90.00
_cell_angle_beta 90.00
_cell_angle_gamma 90.00
_symmetry_space_group_name_H-M 'I -4 m 2'
_symmetry_Int_Tables_number 119
_symmetry_space_group_name_Hall 'I -4 -2'
loop_
_atom_site_label
_atom_site_type_symbol
_atom_site_fract_x
_atom_site_fract_y
_atom_site_fract_z
_atom_site_occupancy
Ba1 Ba 0.000 0.000 0.000 1
Ac1 Ac 0.000 0.500 0.250 1
As1 As 0.000 0.000 0.500 1
As2 As 0.000 0.500 0.750 1
O1 O 0.000 0.178 0.350 1
O2 O 0.000 0.332 0.912 1
```

crystal system	tetragonal
uncorrected formation energy	-2.01	eV/atom
total energy	-6.59	eV/atom
D(E_F)	0.89	states/eV/atom
total magnetic moment	2.139	Bohr magnetons per cell

---

Entry from the Alexandria database: a geometry-optimized Ba2AcAsO6 structure (PBE).

The structure in CIF format:
```
data_Ba2AcAsO6
_cell_length_a 5.9659
_cell_length_b 5.9659
_cell_length_c 34.5352
_cell_angle_alpha 90.00
_cell_angle_beta 90.00
_cell_angle_gamma 120.00
_symmetry_space_group_name_H-M 'R -3 m'
_symmetry_Int_Tables_number 166
_symmetry_space_group_name_Hall '-R 3 2"'
loop_
_atom_site_label
_atom_site_type_symbol
_atom_site_fract_x
_atom_site_fract_y
_atom_site_fract_z
_atom_site_occupancy
Ba1 Ba 0.0000 0.0000 0.1440 1
Ba2 Ba 0.0000 0.0000 0.3048 1
Ac1 Ac 0.0000 0.0000 0.4109 1
As1 As 0.0000 0.0000 0.0000 1
As2 As 0.0000 0.0000 0.5000 1
O1 O 0.0300 0.5150 0.6980 1
O2 O 0.0356 0.5178 0.1343 1
```

crystal system	trigonal
uncorrected formation energy	-2.36	eV/atom
total energy	-6.60	eV/atom
D(E_F)	0.00	states/eV/atom
total magnetic moment	0.000	Bohr magnetons per cell

---

Entry from the Alexandria database: a geometry-optimized BaAcAs2O6 structure (PBE).

The structure in CIF format:
```
data_BaAcAs2O6
_cell_length_a 5.9064
_cell_length_b 5.9064
_cell_length_c 18.8907
_cell_angle_alpha 90.00
_cell_angle_beta 90.00
_cell_angle_gamma 120.00
_symmetry_space_group_name_H-M 'R -3'
_symmetry_Int_Tables_number 148
_symmetry_space_group_name_Hall '-R 3'
loop_
_atom_site_label
_atom_site_type_symbol
_atom_site_fract_x
_atom_site_fract_y
_atom_site_fract_z
_atom_site_occupancy
Ba1 Ba 0.0000 0.0000 0.0000 1
Ac1 Ac 0.0000 0.0000 0.5000 1
As1 As 0.0000 0.0000 0.2787 1
O1 O 0.0154 0.2856 0.2431 1
```

crystal system	trigonal
uncorrected formation energy	-2.09	eV/atom
total energy	-6.59	eV/atom
D(E_F)	0.47	states/eV/atom
total magnetic moment	3.083	Bohr magnetons per cell

---

Entry from the Alexandria database: a geometry-optimized BaAc3As4O12 structure (PBE).

The structure in CIF format:
```
data_BaAc3As4O12
_cell_length_a 12.0627
_cell_length_b 12.0627
_cell_length_c 9.5400
_cell_angle_alpha 90.00
_cell_angle_beta 90.00
_cell_angle_gamma 120.00
_symmetry_space_group_name_H-M 'R 3 2'
_symmetry_Int_Tables_number 155
_symmetry_space_group_name_Hall 'R 3 2"'
loop_
_atom_site_label
_atom_site_type_symbol
_atom_site_fract_x
_atom_site_fract_y
_atom_site_fract_z
_atom_site_occupancy
Ba1 Ba 0.0000 0.0000 0.0000 1
Ac1 Ac 0.0000 0.5543 0.0000 1
As1 As 0.0000 0.0000 0.5000 1
As2 As 0.0000 0.4261 0.5000 1
O1 O 0.0000 0.5730 0.5000 1
O2 O 0.0000 0.8394 0.5000 1
O3 O 0.0235 0.1845 0.1972 1
```

crystal system	trigonal
uncorrected formation energy	-1.90	eV/atom
total energy	-6.52	eV/atom
D(E_F)	0.28	states/eV/atom
total magnetic moment	0.000	Bohr magnetons per cell

---

Entry from the Alexandria database: a geometry-optimized Ba2AcPaAs4 structure (PBE).

The structure in CIF format:
```
data_Ba2AcPaAs4
_cell_length_a 7.762
_cell_length_b 4.480
_cell_length_c 7.970
_cell_angle_alpha 90.00
_cell_angle_beta 108.92
_cell_angle_gamma 90.00
_symmetry_space_group_name_H-M 'P 1 2/m 1'
_symmetry_Int_Tables_number 10
loop_
_symmetry_equiv_pos_as_xyz
'x,y,z'
'-x,-y,-z'
'-x,y,-z'
'x,-y,z'
loop_
_atom_site_label
_atom_site_type_symbol
_atom_site_fract_x
_atom_site_fract_y
_atom_site_fract_z
_atom_site_occupancy
Ba1 Ba 0.000 0.000 0.000 1
Ba2 Ba 0.500 0.500 0.000 1
Ac1 Ac 0.000 0.500 0.500 1
Pa1 Pa 0.500 0.000 0.500 1
As1 As 0.267 0.000 0.714 1
As2 As 0.287 0.500 0.295 1
```

crystal system	monoclinic
total energy	-5.72	eV/atom
total magnetic moment	0.000	Bohr magnetons per cell
energy of formation	-1210	meV per atom

---

Entry from the Alexandria database: a geometry-optimized Ba2AcAs3Pd12 structure (PBE).

The structure in CIF format:
```
data_Ba2AcAs3Pd12
_cell_length_a 8.6913
_cell_length_b 8.6913
_cell_length_c 19.0253
_cell_angle_alpha 90.00
_cell_angle_beta 90.00
_cell_angle_gamma 120.00
_symmetry_space_group_name_H-M 'R -3 m'
_symmetry_Int_Tables_number 166
_symmetry_space_group_name_Hall '-R 3 2"'
loop_
_atom_site_label
_atom_site_type_symbol
_atom_site_fract_x
_atom_site_fract_y
_atom_site_fract_z
_atom_site_occupancy
Ba1 Ba 0.0000 0.0000 0.0990 1
Ac1 Ac 0.0000 0.0000 0.5000 1
As1 As 0.0000 0.5000 0.0000 1
Pd1 Pd 0.0316 0.5158 0.8726 1
Pd2 Pd 0.0454 0.5227 0.3583 1
```

crystal system	trigonal
total energy	-4.92	eV/atom
D(E_F)	0.42	states/eV/atom
total magnetic moment	0.000	Bohr magnetons per cell
energy of formation	-241	meV per atom